(1)
First-principles (PBE) data for a geometry-optimized BaInOs3 structure, as listed in the Alexandria database.

Cell: 5.0274 5.0274 5.0274 Å, 90.00 90.00 90.00°
Closest atoms and distances in Å follow each position.
Sites, in units of the cell vectors:
Os: 0.0000 0.5000 0.0000  2 In 2.51
Os: 0.0000 0.0000 0.5000  2 In 2.51
Os: 0.5000 0.0000 0.0000  2 In 2.51
Ba: 0.5000 0.5000 0.5000  12 Os 3.55
In: 0.0000 0.0000 0.0000  6 Os 2.51

Calculated values
The total energy is -27.60 eV/cell. For the mass density, the calculation gives 10.8 g/cm³. As for the space group: Pm-3m (221).

(2)
First-principles (PBE) data for a geometry-optimized BeGaPt3 structure, as listed in the Alexandria database.

Cell: 4.2430 4.2430 4.2430 Å, 90.00 90.00 90.00°
Closest atoms and distances in Å follow each position.
Sites, in units of the cell vectors:
Be: 0.0000 0.0000 0.0000  6 Pt 2.12
Ga: 0.5000 0.5000 0.5000  12 Pt 3.00
Pt: 0.0000 0.5000 0.0000  2 Be 2.12
Pt: 0.0000 0.0000 0.5000  2 Be 2.12
Pt: 0.5000 0.0000 0.0000  2 Be 2.12

Calculated values
For the mass density, the calculation gives 14.4 g/cm³. As for the space group: Pm-3m (221). The energy above the most stable polymorph in this dataset is 0.000 eV/atom.

(3)
First-principles (PBE) data for a geometry-optimized Sm4Tl2Pb structure, as listed in the Alexandria database.

Cell: 5.3914 5.3914 9.3961 Å, 73.33 73.33 60.00°
Closest atoms and distances in Å follow each position.
Sites, in units of the cell vectors:
Sm: 0.8736 0.8736 0.3791  4 Tl 3.14-3.27, 1 Pb 3.36
Sm: 0.1264 0.1264 0.6209  4 Tl 3.14-3.27, 1 Pb 3.36
Sm: 0.6206 0.6206 0.1383  4 Tl 3.31-3.59, 3 Pb 3.35
Sm: 0.3794 0.3794 0.8617  4 Tl 3.31-3.59, 3 Pb 3.35
Tl: 0.7555 0.7555 0.7336  7 Sm 3.14-3.31
Tl: 0.2445 0.2445 0.2664  7 Sm 3.14-3.31
Pb: 0.0000 0.0000 0.0000  8 Sm 3.35-3.36

Calculated values
For the mass density, the calculation gives 9.1 g/cm³. As for the space group: R-3m (166). The energy above the most stable polymorph in this dataset is 0.108 eV/atom.

(4)
First-principles (PBE) data for a geometry-optimized SrCd2P2 structure, as listed in the Alexandria database.

Cell: 4.3820 4.3820 7.3134 Å, 90.00 90.00 120.00°
Closest atoms and distances in Å follow each position.
Sites, in units of the cell vectors:
Cd: 0.3333 0.6667 0.6353  4 P 2.66-2.80
Cd: 0.6667 0.3333 0.3647  4 P 2.66-2.80
P: 0.3333 0.6667 0.2524  4 Cd 2.66-2.80
P: 0.6667 0.3333 0.7476  4 Cd 2.66-2.80
Sr: 0.0000 0.0000 0.0000  6 P 3.13

Calculated values
For the mass density, the calculation gives 5.1 g/cm³. As for the space group: P-3m1 (164). The energy above the most stable polymorph in this dataset is 0.000 eV/atom.

(5)
First-principles (PBE) data for a geometry-optimized CaNbSn2H structure, as listed in the Alexandria database.

Cell: 5.5393 3.7119 5.5393 Å, 90.00 90.00 90.00°
Closest atoms and distances in Å follow each position.
Sites, in units of the cell vectors:
H: 0.0000 0.5000 0.0000  2 Nb 1.86
Nb: 0.0000 0.0000 0.0000  2 H 1.86
Ca: 0.5000 0.5000 0.5000  8 Sn 3.33, 2 Ca 3.71
Sn: 0.0000 0.0000 0.5000  2 Nb 2.77
Sn: 0.5000 0.0000 0.0000  2 Nb 2.77

Calculated values
The total energy is -23.34 eV/cell. For the mass density, the calculation gives 5.4 g/cm³. As for the space group: P4/mmm (123).

(6)
First-principles (PBE) data for a geometry-optimized Pm3SmSb3 structure, as listed in the Alexandria database.

Cell: 9.2273 9.2273 8.2324 Å, 55.91 55.91 60.00°
Closest atoms and distances in Å follow each position.
Sites, in units of the cell vectors:
Pm: 0.3507 0.8184 0.7393  5 Sb 3.13-3.31
Pm: 0.8184 0.0916 0.7393  5 Sb 3.13-3.31
Pm: 0.0916 0.3507 0.7393  5 Sb 3.13-3.31
Pm: 0.9084 0.6493 0.2607  5 Sb 3.13-3.31
Pm: 0.1816 0.9084 0.2607  5 Sb 3.13-3.31
Pm: 0.6493 0.1816 0.2607  5 Sb 3.13-3.31
Sm: 0.3333 0.3333 0.0001  6 Sb 3.21-3.27
Sm: 0.6667 0.6667 0.9999  6 Sb 3.21-3.27
Sb: 0.3013 0.5350 0.2383  5 Pm 3.13-3.31, 2 Sm 3.21-3.27
Sb: 0.9254 0.3013 0.2383  5 Pm 3.13-3.31, 2 Sm 3.21-3.27
Sb: 0.5350 0.9254 0.2383  5 Pm 3.13-3.31, 2 Sm 3.21-3.27
Sb: 0.4650 0.0746 0.7617  5 Pm 3.13-3.31, 2 Sm 3.21-3.27
Sb: 0.0746 0.6987 0.7617  5 Pm 3.13-3.31, 2 Sm 3.21-3.27
Sb: 0.6987 0.4650 0.7617  5 Pm 3.13-3.31, 2 Sm 3.21-3.27

Calculated values
For the mass density, the calculation gives 6.8 g/cm³. As for the space group: R-3 (148). Its uncorrected formation energy is -6.668 eV per formula unit. The energy above the most stable polymorph in this dataset is 0.105 eV/atom.

(7)
First-principles (PBE) data for a geometry-optimized LiYNiGe structure, as listed in the Alexandria database.

Cell: 4.4696 4.4696 4.4696 Å, 60.00 60.00 60.00°
Closest atoms and distances in Å follow each position.
Sites, in units of the cell vectors:
Y: 0.7500 0.7500 0.7500  4 Ni 2.74, 4 Li 2.74
Ni: 0.5000 0.5000 0.5000  4 Ge 2.74, 4 Y 2.74
Ge: 0.2500 0.2500 0.2500  4 Li 2.74, 4 Ni 2.74
Li: 0.0000 0.0000 0.0000  4 Y 2.74, 4 Ge 2.74

Calculated values
The total energy is -20.97 eV/cell. For the mass density, the calculation gives 6.0 g/cm³. As for the space group: F-43m (216).

(8)
First-principles (PBE) data for a geometry-optimized NaCdSn3 structure, as listed in the Alexandria database.

Cell: 5.6201 5.6201 5.6201 Å, 90.00 90.00 90.00°
Closest atoms and distances in Å follow each position.
Sites, in units of the cell vectors:
Na: 0.5000 0.5000 0.5000  12 Sn 3.97
Sn: 0.0000 0.5000 0.0000  2 Cd 2.81
Sn: 0.0000 0.0000 0.5000  2 Cd 2.81
Sn: 0.5000 0.0000 0.0000  2 Cd 2.81
Cd: 0.0000 0.0000 0.0000  6 Sn 2.81

Calculated values
For the mass density, the calculation gives 4.6 g/cm³. As for the space group: Pm-3m (221). The energy above the most stable polymorph in this dataset is 0.387 eV/atom.

What did the eighth record say?
First-principles (PBE) data for a geometry-optimized NaCdSn3 structure, as listed in the Alexandria database.

Cell: 5.6201 5.6201 5.6201 Å, 90.00 90.00 90.00°
Closest atoms and distances in Å follow each position.
Sites, in units of the cell vectors:
Na: 0.5000 0.5000 0.5000  12 Sn 3.97
Sn: 0.0000 0.5000 0.0000  2 Cd 2.81
Sn: 0.0000 0.0000 0.5000  2 Cd 2.81
Sn: 0.5000 0.0000 0.0000  2 Cd 2.81
Cd: 0.0000 0.0000 0.0000  6 Sn 2.81

Calculated values
For the mass density, the calculation gives 4.6 g/cm³. As for the space group: Pm-3m (221). The energy above the most stable polymorph in this dataset is 0.387 eV/atom.

Look up the mass density of the eighth one. 4.6 g/cm³